LiReBr6 | PBE | relaxed

Results
Spin magnetization ... 0.25 μB/atom
Formation energy (no corrections) ... -0.54 eV/atom
V ... 258.0 Å³ per cell
SG ... C2/m, No. 12

The structure in extended XYZ format:
```
8
Lattice="-4.2431 -3.4161 -4.4635 0.1309 -1.4403 6.8924 -2.7553 6.1211 -0.0037" Properties=species:S:1:pos:R:3 pbc="T T T"
Li 0.0000 0.0000 0.0000
Re -3.4338 0.6324 1.2126
Br -4.4528 1.2435 3.4317
Br -5.7161 0.6728 0.1517
Br -1.1514 0.5919 2.2735
Br -2.4148 0.0213 -1.0065
Br -3.1488 3.0223 0.6870
Br -3.7188 -1.7576 1.7382
```



ThAlV | PBE | relaxed

Results
Spin magnetization ... 0.00 μB/atom
Formation energy ... -0.126 eV/atom
V ... 123.2 Å³ per cell
SG ... Imma, No. 74

The structure in extended XYZ format:
```
6
Lattice="5.5622 0.1064 0.0712 -2.6205 4.9074 -0.0712 2.7932 1.7310 4.4896" Properties=species:S:1:pos:R:3 pbc="T T T"
Th 2.9883 4.9864 1.7270
Th 2.7466 1.7584 2.7625
Al 2.7811 0.0532 0.0356
Al -1.3103 2.4537 -0.0356
V 0.0863 3.3192 2.2092
V 1.4708 2.5069 0.0000
```



Cr2TcNi | PBE | relaxed

Results
Spin magnetization ... 0.00 μB/atom
Formation energy ... 0.143 eV/atom
V ... 49.3 Å³ per cell
SG ... C2/m, No. 12

The structure in extended XYZ format:
```
4
Lattice="4.9037 -0.0090 0.0137 -2.2778 4.3426 0.0137 0.4583 0.7564 2.3204" Properties=species:S:1:pos:R:3 pbc="T T T"
Cr 0.0000 0.0000 0.0000
Cr 1.3129 2.1668 0.0137
Ni 2.6810 0.3737 1.1670
Tc -0.9098 2.5495 1.1670
```



TaInSe | PBE | relaxed

Results
Spin magnetization ... 0.00 μB/atom
Formation energy (no corrections) ... -0.16 eV/atom
V ... 60.4 Å³ per cell
SG ... I4mm, No. 107

The structure in extended XYZ format:
```
3
Lattice="5.9687 -0.0085 0.0000 4.1323 4.3069 0.0000 -5.0505 -2.1492 2.3449" Properties=species:S:1:pos:R:3 pbc="T T T"
In 0.0712 0.0303 0.0000
Se 3.0623 1.3032 0.0000
Ta 6.9674 2.9650 0.0000
```



Pm4TmSn4 | PBE | relaxed

Results
Spin magnetization ... 0.00 μB/atom
Formation energy ... -0.479 eV/atom
V ... 573.1 Å³ per cell
SG ... P4_2/n, No. 86

The structure in extended XYZ format:
```
18
Lattice="6.4227 0.0000 0.0000 0.0000 9.4459 0.0000 0.0000 0.0000 9.4459" Properties=species:S:1:pos:R:3 pbc="T T T"
Pm 2.3438 2.6969 8.6866
Pm 5.5551 5.4822 7.4198
Pm 2.3438 6.7490 0.7593
Pm 0.8676 2.0261 5.4822
Pm 4.0790 8.6866 6.7490
Pm 0.8676 7.4198 3.9637
Pm 5.5551 3.9637 2.0261
Pm 4.0790 0.7593 2.6969
Tm 0.0000 0.0000 0.0000
Tm 3.2114 4.7229 4.7229
Sn 4.1215 7.2885 3.7274
Sn 4.1215 2.1574 5.7185
Sn 0.9101 8.4504 6.8803
Sn 5.5126 2.5656 8.4504
Sn 5.5126 6.8803 0.9955
Sn 2.3013 3.7274 2.1574
Sn 2.3013 5.7185 7.2885
Sn 0.9101 0.9955 2.5656
```



Sr3Ca5Cd2 | PBE | relaxed

Results
Spin magnetization ... 0.00 μB/atom
Formation energy ... -0.124 eV/atom
V ... 817.3 Å³ per cell
SG ... P4/mbm, No. 127

The structure in extended XYZ format:
```
20
Lattice="5.2008 0.0000 0.0000 0.0000 12.5361 0.0000 0.0000 0.0000 12.5361" Properties=species:S:1:pos:R:3 pbc="T T T"
Sr 0.0000 4.1121 10.3801
Sr 0.0000 8.4240 2.1560
Sr 0.0000 2.1560 4.1121
Sr 0.0000 10.3801 8.4240
Sr 0.0000 0.0000 0.0000
Sr 0.0000 6.2681 6.2681
Ca 2.6004 2.7125 0.9139
Ca 2.6004 9.8236 11.6222
Ca 2.6004 11.6222 2.7125
Ca 2.6004 0.9139 9.8236
Ca 2.6004 3.5556 7.1820
Ca 2.6004 8.9805 5.3541
Ca 2.6004 7.1820 8.9805
Ca 2.6004 5.3541 3.5556
Ca 2.6004 0.0000 6.2681
Ca 2.6004 6.2681 0.0000
Cd 0.0000 1.5178 7.7858
Cd 0.0000 11.0184 4.7503
Cd 0.0000 4.7503 1.5178
Cd 0.0000 7.7858 11.0183
```



CdBi2B2 | PBE | relaxed

Results
Spin magnetization ... 0.00 μB/atom
Formation energy ... 1.023 eV/atom
V ... 229.8 Å³ per cell
SG ... P4/mbm, No. 127

The structure in extended XYZ format:
```
10
Lattice="8.0187 0.0000 0.0000 0.0000 8.0187 0.0000 0.0000 0.0000 3.5736" Properties=species:S:1:pos:R:3 pbc="T T T"
B 0.5674 4.5768 1.7868
B 4.5768 7.4513 1.7868
B 7.4513 3.4419 1.7868
B 3.4419 0.5674 1.7868
Bi 2.6849 6.6942 0.0000
Bi 6.6942 5.3338 0.0000
Bi 5.3338 1.3245 0.0000
Bi 1.3245 2.6849 0.0000
Cd 0.0000 0.0000 0.0000
Cd 4.0093 4.0093 0.0000
```



KRe2Ni | PBE | relaxed

Results
Spin magnetization ... 0.00 μB/atom
Formation energy ... 0.695 eV/atom
V ... 81.3 Å³ per cell
SG ... Pm, No. 6

The structure in extended XYZ format:
```
4
Lattice="-2.2070 -1.7300 -2.7075 2.1891 -1.1235 -1.0666 0.7445 -6.9961 3.8634" Properties=species:S:1:pos:R:3 pbc="T T T"
K 1.2979 -4.0780 1.5477
Ni 1.0239 -7.4947 1.1484
Re 0.9421 -7.0457 3.7340
Re -0.3260 -2.2871 -1.0789
```